Entry from OQMD: crystalline BeAg2 at its relaxed geometry (GGA-PBE).

```
6
Lattice="0.0000 5.0282 5.0282 5.0282 0.0000 5.0282 5.0282 5.0282 0.0000" Properties=species:S:1:pos:R:3 pbc="T T T"
Be 1.2570 1.2570 1.2570
Be 8.7993 8.7993 8.7993
Ag 0.0000 0.0000 0.0000
Ag 2.5141 2.5141 0.0000
Ag 2.5141 0.0000 2.5141
Ag 0.0000 2.5141 2.5141
```

Computed properties:
- Space group: No. 227
- Calculated volume: 42.38 Å³ per atom
- Uncorrected energy: -1.8465 eV per atom